Entry 1:
VASP calculation (PBE) on a relaxed structure of Rb2SnHgBr6.

Cell lengths 7.9775, 7.9775, 7.9775 Å; angles 61.08, 61.08, 61.08 degrees
Last column: nearest neighbours and their distance in Å.
Sites, in units of the cell vectors:
Rb1 0.0000 0.0000 0.0000  6 Br 3.50-3.92
Rb2 0.4862 0.4862 0.4862  6 Br 3.50-3.92
Sn1 0.2425 0.2425 0.2425  6 Br 2.93-2.94
Hg1 0.7424 0.7424 0.7424  6 Br 2.86-2.87
Br1 0.0579 0.9220 0.4958  1 Hg 2.87, 1 Sn 2.93
Br2 0.4279 0.5643 0.9909  1 Hg 2.86, 1 Sn 2.94
Br3 0.4958 0.0579 0.9220  1 Hg 2.87, 1 Sn 2.93
Br4 0.5643 0.9909 0.4279  1 Hg 2.86, 1 Sn 2.94
Br5 0.9220 0.4958 0.0579  1 Hg 2.87, 1 Sn 2.93
Br6 0.9909 0.4279 0.5643  1 Hg 2.86, 1 Sn 2.94

Total energy: -2.693 eV/atom
Space group: No. 146

=====

Entry 2:
VASP calculation (PBE) on a relaxed structure of Rb2HgTeBr6.

Cell lengths 8.1455, 8.1455, 8.1455 Å; angles 60.00, 60.00, 60.00 degrees
Last column: nearest neighbours and their distance in Å.
Sites, in units of the cell vectors:
Rb1 0.2500 0.2500 0.2500  12 Br 4.07
Rb2 0.7500 0.7500 0.7500  12 Br 4.07
Hg1 0.0000 0.0000 0.0000  6 Br 2.97
Te1 0.5000 0.5000 0.5000  6 Br 2.79
Br1 0.2577 0.2577 0.7423  1 Te 2.79, 1 Hg 2.97
Br2 0.2577 0.7423 0.2577  1 Te 2.79, 1 Hg 2.97
Br3 0.2577 0.7423 0.7423  1 Te 2.79, 1 Hg 2.97
Br4 0.7423 0.2577 0.2577  1 Te 2.79, 1 Hg 2.97
Br5 0.7423 0.2577 0.7423  1 Te 2.79, 1 Hg 2.97
Br6 0.7423 0.7423 0.2577  1 Te 2.79, 1 Hg 2.97

Total energy: -2.433 eV/atom
Space group: No. 225

=====

Entry 3:
VASP calculation (PBE) on a relaxed structure of Rb2TlHgBr6.

Cell lengths 8.0212, 8.0212, 8.0212 Å; angles 60.00, 60.00, 60.00 degrees
Last column: nearest neighbours and their distance in Å.
Sites, in units of the cell vectors:
Rb1 0.2500 0.2500 0.2500  12 Br 4.01
Rb2 0.7500 0.7500 0.7500  12 Br 4.01
Tl1 0.0000 0.0000 0.0000  6 Br 2.87
Hg1 0.5000 0.5000 0.5000  6 Br 2.80
Br1 0.2534 0.2534 0.7466  1 Hg 2.80, 1 Tl 2.87
Br2 0.2534 0.7466 0.2534  1 Hg 2.80, 1 Tl 2.87
Br3 0.2534 0.7466 0.7466  1 Hg 2.80, 1 Tl 2.87
Br4 0.7466 0.2534 0.2534  1 Hg 2.80, 1 Tl 2.87
Br5 0.7466 0.2534 0.7466  1 Hg 2.80, 1 Tl 2.87
Br6 0.7466 0.7466 0.2534  1 Hg 2.80, 1 Tl 2.87

Total energy: -2.458 eV/atom
Space group: No. 225

=====

Entry 4:
VASP calculation (PBE) on a relaxed structure of Hg3S2Br2.

Cell lengths 10.2322, 10.2322, 9.7229 Å; angles 90.68, 90.68, 56.33 degrees
Last column: nearest neighbours and their distance in Å.
Sites, in units of the cell vectors:
Hg1 0.0000 0.5000 0.0000  2 S 2.44
Hg2 0.0942 0.6620 0.2983  2 S 2.48-2.49
Hg3 0.2365 0.7635 0.0000  2 S 2.43
Hg4 0.2431 0.2431 0.2810  2 S 2.43
Hg5 0.3380 0.9058 0.7017  2 S 2.48-2.49
Hg6 0.4825 0.4825 0.7314  2 S 2.45
Hg7 0.5000 0.0000 0.0000  2 S 2.44
Hg8 0.5175 0.5175 0.2686  2 S 2.45
Hg9 0.6620 0.0942 0.2983  2 S 2.48-2.49
Hg10 0.7569 0.7569 0.7190  2 S 2.43
Hg11 0.7635 0.2365 0.0000  2 S 2.43
Hg12 0.9058 0.3380 0.7017  2 S 2.48-2.49
S1 0.0065 0.5062 0.7494  3 Hg 2.43-2.49
S2 0.2357 0.7411 0.7510  3 Hg 2.43-2.48
S3 0.2589 0.7643 0.2490  3 Hg 2.43-2.48
S4 0.4938 0.9935 0.2506  3 Hg 2.43-2.49
S5 0.5062 0.0065 0.7494  3 Hg 2.43-2.49
S6 0.7411 0.2357 0.7510  3 Hg 2.43-2.48
S7 0.7643 0.2589 0.2490  3 Hg 2.43-2.48
S8 0.9935 0.4938 0.2506  3 Hg 2.43-2.49
Br1 0.1216 0.1216 0.5031  3 Hg 2.84-3.10
Br2 0.1246 0.1246 0.9724  6 Hg 3.22-3.36
Br3 0.3733 0.3733 0.0049  7 Hg 3.28-3.63
Br4 0.3805 0.3805 0.4782  5 Hg 3.05-3.25
Br5 0.6195 0.6195 0.5218  5 Hg 3.05-3.25
Br6 0.6267 0.6267 0.9951  7 Hg 3.28-3.63
Br7 0.8754 0.8754 0.0276  6 Hg 3.22-3.36
Br8 0.8784 0.8784 0.4969  3 Hg 2.84-3.10

Total energy: -2.095 eV/atom
Space group: No. 12

=====

Entry 5:
VASP calculation (PBE) on a relaxed structure of Hg3S2Br2.

Cell lengths 8.1689, 8.1689, 8.1689 Å; angles 109.47, 109.47, 109.47 degrees
Last column: nearest neighbours and their distance in Å.
Sites, in units of the cell vectors:
Hg1 0.2038 0.9538 0.2500  2 S 2.45
Hg2 0.2500 0.2038 0.9538  2 S 2.45
Hg3 0.2962 0.5462 0.7500  2 S 2.45
Hg4 0.5462 0.7500 0.2962  2 S 2.45
Hg5 0.7500 0.2962 0.5462  2 S 2.45
Hg6 0.9538 0.2500 0.2038  2 S 2.45
S1 0.0000 0.5141 0.5000  3 Hg 2.45
S2 0.5000 0.0000 0.5141  3 Hg 2.45
S3 0.5141 0.5000 0.0000  3 Hg 2.45
S4 0.9859 0.9859 0.9859  3 Hg 2.45
Br1 0.0000 0.0078 0.5000  3 Hg 3.05
Br2 0.0078 0.5000 0.0000  3 Hg 3.05
Br3 0.4922 0.4922 0.4922  3 Hg 3.05
Br4 0.5000 0.0000 0.0078  3 Hg 3.05

Total energy: -2.096 eV/atom
Space group: No. 199

=====

Entry 6:
VASP calculation (PBE) on a relaxed structure of Hg3S2Br2.

Cell lengths 10.4161, 10.4161, 10.6265 Å; angles 112.79, 112.79, 54.14 degrees
Last column: nearest neighbours and their distance in Å.
Sites, in units of the cell vectors:
Hg1 0.1072 0.6328 0.9959  2 S 2.44
Hg2 0.1592 0.6949 0.7043  2 S 2.46
Hg3 0.2836 0.2836 0.7150  2 S 2.46
Hg4 0.3051 0.8408 0.2957  2 S 2.46
Hg5 0.3672 0.8928 0.0041  2 S 2.44
Hg6 0.4247 0.4247 0.2720  2 S 2.45
Hg7 0.5753 0.5753 0.7280  2 S 2.45
Hg8 0.6328 0.1072 0.9959  2 S 2.44
Hg9 0.6949 0.1592 0.7043  2 S 2.46
Hg10 0.7164 0.7164 0.2850  2 S 2.46
Hg11 0.8408 0.3051 0.2957  2 S 2.46
Hg12 0.8928 0.3672 0.0041  2 S 2.44
S1 0.0490 0.5611 0.7412  3 Hg 2.44-2.46
S2 0.1749 0.6873 0.2504  3 Hg 2.44-2.46
S3 0.3127 0.8251 0.7496  3 Hg 2.44-2.46
S4 0.4389 0.9510 0.2588  3 Hg 2.44-2.46
S5 0.5611 0.0490 0.7412  3 Hg 2.44-2.46
S6 0.6873 0.1749 0.2504  3 Hg 2.44-2.46
S7 0.8251 0.3127 0.7496  3 Hg 2.44-2.46
S8 0.9510 0.4389 0.2588  3 Hg 2.44-2.46
Br1 0.0000 0.0000 0.0000  8 Hg 3.28-3.58
Br2 0.1189 0.1189 0.4967  3 Hg 2.92
Br3 0.2500 0.2500 0.9979  6 Hg 3.18-3.35
Br4 0.3826 0.3826 0.5144  4 Hg 3.00-3.30
Br5 0.5000 0.5000 0.0000  12 Hg 3.45-3.83
Br6 0.6174 0.6174 0.4856  4 Hg 3.00-3.30
Br7 0.7500 0.7500 0.0021  6 Hg 3.18-3.35
Br8 0.8811 0.8811 0.5033  3 Hg 2.92

Total energy: -2.096 eV/atom
Space group: No. 12

=====

Entry 7:
VASP calculation (PBE) on a relaxed structure of TbHg3S4Br.

Cell lengths 7.9592, 7.9592, 8.2511 Å; angles 90.00, 90.00, 120.00 degrees
Last column: nearest neighbours and their distance in Å.
Sites, in units of the cell vectors:
Tb1 0.0000 0.0000 0.0000  6 S 2.80-2.88
Tb2 0.0000 0.0000 0.5000  6 S 2.80-2.88
Hg1 0.0143 0.5072 0.1747  3 S 2.54-2.59
Hg2 0.4928 0.5072 0.1747  3 S 2.54-2.59
Hg3 0.4928 0.9857 0.1747  3 S 2.54-2.59
Hg4 0.5072 0.0143 0.6747  3 S 2.54-2.59
Hg5 0.5072 0.4928 0.6747  3 S 2.54-2.59
Hg6 0.9857 0.4928 0.6747  3 S 2.54-2.59
S1 0.1412 0.2823 0.7432  2 Hg 2.59, 2 Tb 2.80-2.88
S2 0.1412 0.8588 0.7432  2 Hg 2.59, 2 Tb 2.80-2.88
S3 0.2823 0.1412 0.2432  2 Hg 2.59, 2 Tb 2.80-2.88
S4 0.3333 0.6667 0.0202  3 Hg 2.54
S5 0.6667 0.3333 0.5202  3 Hg 2.54
S6 0.7177 0.8588 0.7432  2 Hg 2.59, 2 Tb 2.80-2.88
S7 0.8588 0.1412 0.2432  2 Hg 2.59, 2 Tb 2.80-2.88
S8 0.8588 0.7177 0.2432  2 Hg 2.59, 2 Tb 2.80-2.88
Br1 0.3333 0.6667 0.4442  6 Hg 3.06-3.13
Br2 0.6667 0.3333 0.9442  6 Hg 3.06-3.13

Total moment: 0.0 Bohr magnetons per cell
Total energy: -3.245 eV/atom
Space group: No. 186

=====

Entry 8:
VASP calculation (PBE) on a relaxed structure of TlHg6S4Br5.

Cell lengths 11.2542, 11.2542, 11.2542 Å; angles 99.24, 99.24, 132.76 degrees
Last column: nearest neighbours and their distance in Å.
Sites, in units of the cell vectors:
Tl1 0.2500 0.7500 0.5000  8 Br 3.55-3.66
Tl2 0.7500 0.2500 0.5000  8 Br 3.55-3.66
Hg1 0.0650 0.2017 0.7869  2 S 2.44-2.45
Hg2 0.2017 0.4148 0.1367  2 S 2.44-2.45
Hg3 0.2647 0.6378 0.9025  2 S 2.46
Hg4 0.2781 0.0650 0.8633  2 S 2.44-2.45
Hg5 0.3622 0.2647 0.6269  2 S 2.46
Hg6 0.4148 0.2781 0.2131  2 S 2.44-2.45
Hg7 0.5852 0.7219 0.7869  2 S 2.44-2.45
Hg8 0.6378 0.7353 0.3731  2 S 2.46
Hg9 0.7219 0.9350 0.1367  2 S 2.44-2.45
Hg10 0.7353 0.3622 0.0975  2 S 2.46
Hg11 0.7983 0.5852 0.8633  2 S 2.44-2.45
Hg12 0.9350 0.7983 0.2131  2 S 2.44-2.45
S1 0.0352 0.3620 0.9292  3 Hg 2.44-2.46
S2 0.1060 0.0352 0.6732  3 Hg 2.44-2.46
S3 0.3620 0.4329 0.3268  3 Hg 2.44-2.46
S4 0.4329 0.1060 0.0708  3 Hg 2.44-2.46
S5 0.5671 0.8940 0.9292  3 Hg 2.44-2.46
S6 0.6380 0.5671 0.6732  3 Hg 2.44-2.46
S7 0.8940 0.9648 0.3268  3 Hg 2.44-2.46
S8 0.9648 0.6380 0.0708  3 Hg 2.44-2.46
Br1 0.0000 0.0000 0.0000  8 Hg 3.39
Br2 0.0710 0.6740 0.7450  3 Hg 2.87-3.12
Br3 0.1865 0.4342 0.6206  3 Hg 3.12-3.18
Br4 0.3260 0.0710 0.3970  3 Hg 2.87-3.12
Br5 0.4342 0.8135 0.2477  3 Hg 3.12-3.18
Br6 0.5000 0.5000 0.0000  8 Hg 3.51
Br7 0.5658 0.1865 0.7523  3 Hg 3.12-3.18
Br8 0.6740 0.9290 0.6030  3 Hg 2.87-3.12
Br9 0.8135 0.5658 0.3794  3 Hg 3.12-3.18
Br10 0.9290 0.3260 0.2550  3 Hg 2.87-3.12

Total energy: -2.186 eV/atom
Space group: No. 87